First-principles (PBE) data for an optimized crystal structure of Tb4NiIr, as listed in Alexandria via LeMat-Bulk.

Results
E_tot   -5.957 eV per atom

Cell lengths 6.782, 6.782, 8.329 Å; angles 114.04, 114.03, 90.00 degrees
Element x y z (fractional)
Tb  0.160  0.158  0.246
Tb  0.086  0.658  0.246
Tb  0.660  0.084  0.245
Tb  0.586  0.584  0.245
Tb  0.340  0.916  0.755
Tb  0.414  0.416  0.755
Tb  0.840  0.842  0.754
Tb  0.914  0.342  0.754
Ni  0.500  0.500  0.500
Ni  0.000  0.000  0.500
Ir  0.250  0.750  0.000
Ir  0.750  0.250  0.000

---

First-principles (PBE) data for an optimized crystal structure of TbTiNiIr, as listed in Alexandria via LeMat-Bulk.

Results
E_tot   -7.244 eV per atom

Cell lengths 4.601, 4.601, 4.601 Å; angles 60.00, 60.00, 60.00 degrees
Element x y z (fractional)
Ni  0.000  0.000  0.000
Ir  0.500  0.500  0.500
Tb  0.250  0.250  0.250
Ti  0.750  0.750  0.750

---

First-principles (PBE) data for an optimized crystal structure of TbTmNiIr, as listed in Alexandria via LeMat-Bulk.

Results
E_tot   -6.607 eV per atom

Cell lengths 4.798, 4.798, 4.798 Å; angles 60.00, 60.00, 60.00 degrees
Element x y z (fractional)
Tb  0.000  0.000  0.000
Ir  0.750  0.750  0.750
Tm  0.500  0.500  0.500
Ni  0.250  0.250  0.250

---

First-principles (PBE) data for an optimized crystal structure of TbZnNiIr, as listed in Alexandria via LeMat-Bulk.

Results
E_tot   -5.489 eV per atom

Cell lengths 4.551, 4.551, 4.551 Å; angles 60.00, 60.00, 60.00 degrees
Element x y z (fractional)
Ni  0.250  0.250  0.250
Zn  0.500  0.500  0.500
Ir  0.750  0.750  0.750
Tb  0.000  0.000  0.000

---

First-principles (PBE) data for an optimized crystal structure of TbZrNiIr, as listed in Alexandria via LeMat-Bulk.

Results
E_tot   -7.510 eV per atom

Cell lengths 4.733, 4.733, 4.733 Å; angles 60.00, 60.00, 60.00 degrees
Element x y z (fractional)
Ni  0.250  0.250  0.250
Ir  0.750  0.750  0.750
Tb  0.000  0.000  0.000
Zr  0.500  0.500  0.500

---

First-principles (PBE) data for an optimized crystal structure of TcNi2Ir, as listed in Alexandria via LeMat-Bulk.

Results
E_tot   -7.733 eV per atom

Cell lengths 4.577, 4.577, 4.463 Å; angles 79.96, 79.96, 33.77 degrees
Element x y z (fractional)
Ir  0.748  0.748  0.746
Ni  0.999  0.999  0.012
Ni  0.252  0.252  0.240
Tc  0.501  0.501  0.502

---

First-principles (PBE) data for an optimized crystal structure of Tc2NiIr, as listed in Alexandria via LeMat-Bulk.

Results
E_tot   -8.420 eV per atom

Cell lengths 3.672, 3.672, 9.205 Å; angles 78.50, 78.50, 90.00 degrees
Element x y z (fractional)
Ni  0.500  0.500  0.000
Ni  0.250  0.750  0.500
Ir  0.000  0.000  0.000
Ir  0.750  0.250  0.500
Tc  0.593  0.125  0.250
Tc  0.157  0.625  0.250
Tc  0.375  0.407  0.750
Tc  0.875  0.843  0.750

---

First-principles (PBE) data for an optimized crystal structure of Tc2NiIr, as listed in Alexandria via LeMat-Bulk.

Results
E_tot   -8.873 eV per atom

Cell lengths 4.630, 4.630, 4.630 Å; angles 131.29, 131.29, 71.35 degrees
Element x y z (fractional)
Ir  0.500  0.500  0.000
Ni  0.750  0.250  0.500
Tc  0.000  0.000  0.000
Tc  0.250  0.750  0.500

---

First-principles (PBE) data for an optimized crystal structure of Tc2NiIr, as listed in Alexandria via LeMat-Bulk.

Results
E_tot   -8.916 eV per atom

Cell lengths 3.852, 2.696, 5.917 Å; angles 62.88, 90.00, 90.00 degrees
Element x y z (fractional)
Ir  0.500  0.250  0.250
Ni  0.500  0.750  0.750
Tc  0.000  0.017  0.982
Tc  0.000  0.483  0.518

---

First-principles (PBE) data for an optimized crystal structure of TcNi2Ir, as listed in Alexandria via LeMat-Bulk.

Results
E_tot   -7.645 eV per atom

Cell lengths 8.524, 8.524, 8.524 Å; angles 18.09, 18.09, 18.09 degrees
Element x y z (fractional)
Ir  0.749  0.749  0.749
Ni  0.997  0.997  0.997
Ni  0.252  0.252  0.252
Tc  0.502  0.502  0.502

---

First-principles (PBE) data for an optimized crystal structure of TcNi2Ir, as listed in Alexandria via LeMat-Bulk.

Results
E_tot   -7.665 eV per atom

Cell lengths 2.656, 4.606, 5.218 Å; angles 53.95, 90.00, 90.00 degrees
Element x y z (fractional)
Ir  0.000  0.000  0.500
Ni  0.000  0.000  0.000
Ni  0.500  0.500  0.000
Tc  0.500  0.500  0.500

---

First-principles (PBE) data for an optimized crystal structure of Tc2NiIr2, as listed in Alexandria via LeMat-Bulk.

Results
E_tot   -8.947 eV per atom

Cell lengths 7.091, 4.671, 5.997 Å; angles 50.32, 32.23, 71.07 degrees
Element x y z (fractional)
Tc  0.797  0.091  0.812
Tc  0.203  0.909  0.188
Ni  0.000  0.500  0.000
Ir  0.408  0.320  0.389
Ir  0.592  0.680  0.611